The following is a DFT calculation (PBE) of a relaxed structure of TbTeSe.

final energy	-5.174	eV/atom
formation energy from raw total energies	-412	kJ/mol of formula units

Lattice parameters (Å, degrees): 4.239 5.769 13.922 90.00 90.00 90.00
Space group Immm (No. 71)
Asymmetric unit:
1 Tb 0.000 0.000 0.154 (multiplicity 4)
2 Te 0.000 0.248 0.500 (multiplicity 4)
3 Se 0.000 0.500 0.212 (multiplicity 4)